VASP calculation (PBE) on a geometry-optimized Rb2SiBiTe4 structure.

Output
Size of the total moment = 0.000 Bohr magnetons per cell
Calculated density = 4.15 g cm⁻³
Uncorrected formation energy = -40.5 kJ/mol of atoms

Cell and atoms, written as CIF:
```
data_Rb2SiBiTe4
_symmetry_space_group_name_H-M 'P m n 21'
_symmetry_Int_Tables_number 31
_cell_length_a 9.607
_cell_length_b 8.664
_cell_length_c 8.832
_cell_angle_alpha 90.00
_cell_angle_beta 90.00
_cell_angle_gamma 90.00
loop_
_symmetry_equiv_pos_as_xyz
'x,y,z'
'-x+1/2,-y,z+1/2'
'-x,y,z'
'x+1/2,-y,z+1/2'
loop_
_atom_site_label
_atom_site_type_symbol
_atom_site_fract_x
_atom_site_fract_y
_atom_site_fract_z
Rb1 Rb 0.249 0.212 0.000
Si1 Si 0.000 0.820 0.072
Bi1 Bi 0.000 0.208 0.596
Te1 Te 0.000 0.033 0.269
Te2 Te 0.000 0.924 0.790
Te3 Te 0.211 0.640 0.100
```

VASP calculation (PBE) on a geometry-optimized RbSmBi2 structure.

Output
Size of the total moment = 0.000 Bohr magnetons per cell
Calculated density = 6.55 g cm⁻³
E_form = -0.383 eV per atom
ΔE to the lowest computed polymorph = 0.149 eV/atom

Cell and atoms, written as CIF:
```
data_RbSmBi2
_symmetry_space_group_name_H-M 'R -3 m'
_symmetry_Int_Tables_number 166
_symmetry_space_group_name_Hall '-R 3 2"'
_cell_length_a 4.6019
_cell_length_b 4.6019
_cell_length_c 27.1307
_cell_angle_alpha 90.00
_cell_angle_beta 90.00
_cell_angle_gamma 120.00
loop_
_atom_site_label
_atom_site_type_symbol
_atom_site_fract_x
_atom_site_fract_y
_atom_site_fract_z
Rb1 Rb 0.0000 0.0000 0.0000
Sm1 Sm 0.0000 0.0000 0.5000
Bi1 Bi 0.0000 0.0000 0.2328
```

VASP calculation (PBE) on a geometry-optimized RbSmBi2 structure.

Output
Size of the total moment = 0.000 Bohr magnetons per cell
Calculated density = 6.53 g cm⁻³
E_form = -0.374 eV per atom
ΔE to the lowest computed polymorph = 0.158 eV/atom

Cell and atoms, written as CIF:
```
data_RbSmBi2
_symmetry_space_group_name_H-M 'R 3 m'
_symmetry_Int_Tables_number 160
_symmetry_space_group_name_Hall 'R 3 -2"'
_cell_length_a 4.5664
_cell_length_b 4.5664
_cell_length_c 27.6025
_cell_angle_alpha 90.00
_cell_angle_beta 90.00
_cell_angle_gamma 120.00
loop_
_atom_site_label
_atom_site_type_symbol
_atom_site_fract_x
_atom_site_fract_y
_atom_site_fract_z
Rb1 Rb 0.0000 0.0000 0.0000
Sm1 Sm 0.0000 0.0000 0.1691
Bi1 Bi 0.0000 0.0000 0.5683
Bi2 Bi 0.0000 0.0000 0.7687
```

VASP calculation (PBE) on a geometry-optimized RbSmBi2 structure.

Output
Size of the total moment = 0.000 Bohr magnetons per cell
Calculated density = 7.24 g cm⁻³
E_form = -0.532 eV per atom
ΔE to the lowest computed polymorph = 0.000 eV/atom

Cell and atoms, written as CIF:
```
data_RbSmBi2
_symmetry_space_group_name_H-M 'P 4/m m m'
_symmetry_Int_Tables_number 123
_symmetry_space_group_name_Hall '-P 4 2'
_cell_length_a 4.291
_cell_length_b 4.291
_cell_length_c 8.149
_cell_angle_alpha 90.00
_cell_angle_beta 90.00
_cell_angle_gamma 90.00
loop_
_atom_site_label
_atom_site_type_symbol
_atom_site_fract_x
_atom_site_fract_y
_atom_site_fract_z
Rb1 Rb 0.000 0.000 0.000
Sm1 Sm 0.000 0.000 0.500
Bi1 Bi 0.500 0.500 0.309
```